Version i
# Li2TmZn (PBE, relaxed)
data_Li2TmZn
_chemical_formula_sum 'Li2 Tm1 Zn1'
_symmetry_space_group_name_H-M 'P 1'
_symmetry_Int_Tables_number 1
_cell_length_a 10.523
_cell_length_b 10.523
_cell_length_c 10.523
_cell_angle_alpha 17.16
_cell_angle_beta 17.16
_cell_angle_gamma 17.16
loop_
_symmetry_equiv_pos_as_xyz
'x,y,z'
loop_
_atom_site_label
_atom_site_fract_x
_atom_site_fract_y
_atom_site_fract_z
Li1 0.098 0.098 0.098
Li2 0.902 0.902 0.902
Tm1 0.000 0.000 0.000
Zn1 0.500 0.500 0.500
# magnetization: 0.000 Bohr magnetons per cell
# Fermi-level density of states: 2.4 states/eV per cell
# SG: No. 166

---

Version ii
# Li2TmZn (PBE, relaxed)
data_Li2TmZn
_chemical_formula_sum 'Li2 Tm1 Zn1'
_symmetry_space_group_name_H-M 'P 1'
_symmetry_Int_Tables_number 1
_cell_length_a 3.417
_cell_length_b 3.417
_cell_length_c 6.752
_cell_angle_alpha 90.00
_cell_angle_beta 90.00
_cell_angle_gamma 90.00
loop_
_symmetry_equiv_pos_as_xyz
'x,y,z'
loop_
_atom_site_label
_atom_site_fract_x
_atom_site_fract_y
_atom_site_fract_z
Li1 0.000 0.000 0.193
Li2 0.000 0.000 0.807
Tm1 0.500 0.500 0.500
Zn1 0.500 0.500 0.000
# magnetization: 0.000 Bohr magnetons per cell
# Fermi-level density of states: 2.8 states/eV per cell
# SG: No. 123

---

On energetic grounds, version ii is preferred over the next structure by 0.152 eV/atom.

---

Version i
# LiTm2Zn3 (PBE, relaxed)
data_LiTm2Zn3
_chemical_formula_sum 'Li2 Tm4 Zn6'
_symmetry_space_group_name_H-M 'P 1'
_symmetry_Int_Tables_number 1
_cell_length_a 4.844
_cell_length_b 4.844
_cell_length_c 11.789
_cell_angle_alpha 90.00
_cell_angle_beta 90.00
_cell_angle_gamma 120.00
loop_
_symmetry_equiv_pos_as_xyz
'x,y,z'
loop_
_atom_site_label
_atom_site_fract_x
_atom_site_fract_y
_atom_site_fract_z
Li1 0.333 0.667 0.165
Li2 0.667 0.333 0.835
Tm1 0.000 0.000 0.000
Tm2 0.000 0.000 0.500
Tm3 0.333 0.667 0.678
Tm4 0.667 0.333 0.322
Zn1 0.000 0.000 0.246
Zn2 0.000 0.000 0.754
Zn3 0.333 0.667 0.408
Zn4 0.333 0.667 0.927
Zn5 0.667 0.333 0.073
Zn6 0.667 0.333 0.592
# magnetization: 0.000 Bohr magnetons per cell
# Fermi-level density of states: 6.3 states/eV per cell
# SG: No. 164

---

Version ii
# LiTm2Zn3 (PBE, relaxed)
data_LiTm2Zn3
_chemical_formula_sum 'Li2 Tm4 Zn6'
_symmetry_space_group_name_H-M 'P 1'
_symmetry_Int_Tables_number 1
_cell_length_a 9.062
_cell_length_b 8.548
_cell_length_c 5.637
_cell_angle_alpha 76.36
_cell_angle_beta 66.45
_cell_angle_gamma 37.19
loop_
_symmetry_equiv_pos_as_xyz
'x,y,z'
loop_
_atom_site_label
_atom_site_fract_x
_atom_site_fract_y
_atom_site_fract_z
Li1 0.167 0.167 0.833
Li2 0.833 0.833 0.167
Tm1 0.250 0.250 0.250
Tm2 0.252 0.748 0.748
Tm3 0.748 0.252 0.252
Tm4 0.750 0.750 0.750
Zn1 0.167 0.666 0.334
Zn2 0.333 0.333 0.667
Zn3 0.334 0.833 0.167
Zn4 0.666 0.167 0.833
Zn5 0.667 0.667 0.333
Zn6 0.833 0.334 0.666
# magnetization: 0.000 Bohr magnetons per cell
# Fermi-level density of states: 10.3 states/eV per cell
# SG: No. 69

---

On energetic grounds, version i is preferred over the next structure by 0.037 eV/atom.

---

Version i
# LiV2W (PBE, relaxed)
data_LiV2W
_chemical_formula_sum 'Li1 V2 W1'
_symmetry_space_group_name_H-M 'P 1'
_symmetry_Int_Tables_number 1
_cell_length_a 4.301
_cell_length_b 4.301
_cell_length_c 4.301
_cell_angle_alpha 60.00
_cell_angle_beta 60.00
_cell_angle_gamma 60.00
loop_
_symmetry_equiv_pos_as_xyz
'x,y,z'
loop_
_atom_site_label
_atom_site_fract_x
_atom_site_fract_y
_atom_site_fract_z
Li1 0.000 0.000 0.000
V1 0.250 0.250 0.250
V2 0.750 0.750 0.750
W1 0.500 0.500 0.500
# magnetization: 0.000 Bohr magnetons per cell
# Fermi-level density of states: 3.0 states/eV per cell
# SG: No. 225

---

Version ii
# LiV2W (PBE, relaxed)
data_LiV2W
_chemical_formula_sum 'Li2 V4 W2'
_symmetry_space_group_name_H-M 'P 1'
_symmetry_Int_Tables_number 1
_cell_length_a 5.383
_cell_length_b 5.383
_cell_length_c 5.383
_cell_angle_alpha 102.98
_cell_angle_beta 102.98
_cell_angle_gamma 123.41
loop_
_symmetry_equiv_pos_as_xyz
'x,y,z'
loop_
_atom_site_label
_atom_site_fract_x
_atom_site_fract_y
_atom_site_fract_z
Li1 0.000 0.000 0.000
Li2 0.750 0.250 0.500
V1 0.111 0.125 0.486
V2 0.375 0.889 0.014
V3 0.639 0.625 0.514
V4 0.875 0.361 0.986
W1 0.250 0.750 0.500
W2 0.500 0.500 0.000
# magnetization: 0.000 Bohr magnetons per cell
# Fermi-level density of states: 6.2 states/eV per cell
# SG: No. 122

---

On energetic grounds, version i is preferred over the next structure by 0.464 eV/atom.

---

Version i
# LiV3W (PBE, relaxed)
data_LiV3W
_chemical_formula_sum 'Li1 V3 W1'
_symmetry_space_group_name_H-M 'P 1'
_symmetry_Int_Tables_number 1
_cell_length_a 4.109
_cell_length_b 4.109
_cell_length_c 4.109
_cell_angle_alpha 90.00
_cell_angle_beta 90.00
_cell_angle_gamma 90.00
loop_
_symmetry_equiv_pos_as_xyz
'x,y,z'
loop_
_atom_site_label
_atom_site_fract_x
_atom_site_fract_y
_atom_site_fract_z
Li1 0.000 0.000 0.000
V1 0.000 0.000 0.500
V2 0.000 0.500 0.000
V3 0.500 0.000 0.000
W1 0.500 0.500 0.500
# magnetization: 0.008 Bohr magnetons per cell
# Fermi-level density of states: 6.2 states/eV per cell
# SG: No. 221

---

Version ii
# LiV3W (PBE, relaxed)
data_LiV3W
_chemical_formula_sum 'Li1 V3 W1'
_symmetry_space_group_name_H-M 'P 1'
_symmetry_Int_Tables_number 1
_cell_length_a 4.655
_cell_length_b 4.655
_cell_length_c 4.655
_cell_angle_alpha 90.00
_cell_angle_beta 90.00
_cell_angle_gamma 90.00
loop_
_symmetry_equiv_pos_as_xyz
'x,y,z'
loop_
_atom_site_label
_atom_site_fract_x
_atom_site_fract_y
_atom_site_fract_z
Li1 0.000 0.000 0.000
V1 0.000 0.500 0.500
V2 0.500 0.000 0.500
V3 0.500 0.500 0.000
W1 0.500 0.500 0.500
# magnetization: 1.119 Bohr magnetons per cell
# Fermi-level density of states: 7.7 states/eV per cell
# SG: No. 221

---

On energetic grounds, version i is preferred over the next structure by 0.153 eV/atom.

---

Version i
# LiYV3 (PBE, relaxed)
data_LiYV3
_chemical_formula_sum 'Li1 Y1 V3'
_symmetry_space_group_name_H-M 'P 1'
_symmetry_Int_Tables_number 1
_cell_length_a 4.932
_cell_length_b 4.932
_cell_length_c 4.932
_cell_angle_alpha 90.00
_cell_angle_beta 90.00
_cell_angle_gamma 90.00
loop_
_symmetry_equiv_pos_as_xyz
'x,y,z'
loop_
_atom_site_label
_atom_site_fract_x
_atom_site_fract_y
_atom_site_fract_z
Li1 0.000 0.000 0.000
Y1 0.500 0.500 0.500
V1 0.000 0.500 0.500
V2 0.500 0.000 0.500
V3 0.500 0.500 0.000
# magnetization: 7.015 Bohr magnetons per cell
# Fermi-level density of states: 7.5 states/eV per cell
# SG: No. 221

---

Version ii
# LiYV3 (PBE, relaxed)
data_LiYV3
_chemical_formula_sum 'Li1 Y1 V3'
_symmetry_space_group_name_H-M 'P 1'
_symmetry_Int_Tables_number 1
_cell_length_a 4.476
_cell_length_b 4.476
_cell_length_c 4.476
_cell_angle_alpha 90.00
_cell_angle_beta 90.00
_cell_angle_gamma 90.00
loop_
_symmetry_equiv_pos_as_xyz
'x,y,z'
loop_
_atom_site_label
_atom_site_fract_x
_atom_site_fract_y
_atom_site_fract_z
Li1 0.000 0.000 0.000
Y1 0.500 0.500 0.500
V1 0.000 0.000 0.500
V2 0.000 0.500 0.000
V3 0.500 0.000 0.000
# magnetization: 5.627 Bohr magnetons per cell
# Fermi-level density of states: 8.8 states/eV per cell
# SG: No. 221

---

On energetic grounds, version ii is preferred over the next structure by 0.841 eV/atom.